MoAsO2F, relaxed, DFT PBE+U; E = -5.29 eV per atom; crystal system = tetragonal; space group = P4/mmm (123)
1.0
4.0537 0.0000 0.0000
0.0000 4.0537 0.0000
0.0000 0.0000 4.1434
Mo As O F
1 1 2 1
Direct
0.0000 0.0000 0.0000
0.5000 0.5000 0.5000
0.0000 0.5000 0.5000
0.5000 0.0000 0.5000
0.5000 0.5000 0.0000